## TaCrNO2 (PBE with a Hubbard U)

Data for an optimized crystal structure of TaCrNO2.

POSCAR file:
```
TaCrNO2
1.0
-2.2683 -2.7493 0.9159
2.8007 -2.3785 -0.2034
0.7937 0.6099 3.7963
Ta N O Cr
1 1 2 1
direct
0.5000 0.5000 0.5000
0.0000 0.0000 0.5000
0.0000 0.5000 0.0000
0.5000 0.0000 0.0000
0.0000 0.0000 0.0000
```

Values from the calculation:
- mass density (g/cm³) = 8.71
- E_tot (eV/atom) = -7.96